Entry 1:
The following is a PBE calculation of a relaxed structure of KTl6Pt4, from the Alexandria database.

The structure in POSCAR format:
```
KTl6Pt4
1.0
-3.641 3.641 5.193
3.641 -3.641 5.193
3.641 3.641 -5.193
K Tl Pt
1 6 4
Cartesian
0.000 0.000 0.000 K
3.641 0.000 0.000 Tl
1.326 -1.326 2.994 Tl
-1.326 1.326 2.994 Tl
0.000 3.641 0.000 Tl
2.315 2.315 2.199 Tl
1.326 1.326 7.393 Tl
2.467 2.467 -0.815 Pt
1.174 -1.174 6.009 Pt
1.174 1.174 4.378 Pt
-1.174 1.174 6.009 Pt
```

Summary:
Energy of formation from the pure elements, eV per atom: -0.1464
E, eV per atom: -3.734



Entry 2:
The following is a PBE calculation of a relaxed structure of KYTl2Pt, from the Alexandria database.

The structure in POSCAR format:
```
KYTl2Pt
1.0
6.044 0.000 0.000
0.000 6.044 0.000
0.000 0.000 5.222
K Y Tl Pt
1 1 2 1
Cartesian
0.000 0.000 0.000 K
3.022 3.022 2.611 Y
0.000 3.022 2.611 Tl
3.022 0.000 2.611 Tl
3.022 3.022 0.000 Pt
```

Summary:
Energy of formation from the pure elements, eV per atom: 0.1319
E, eV per atom: -3.535



Entry 3:
The following is a PBE calculation of a relaxed structure of KTlZnPt2, from the Alexandria database.

The structure in POSCAR format:
```
KTlZnPt2
1.0
4.868 0.000 0.000
0.000 4.868 0.000
0.000 0.000 5.300
K Tl Zn Pt
1 1 1 2
Cartesian
0.000 0.000 0.000 K
2.434 2.434 0.000 Tl
2.434 2.434 2.650 Zn
0.000 2.434 2.650 Pt
2.434 0.000 2.650 Pt
```

Summary:
Energy of formation from the pure elements, eV per atom: 0.2229
E, eV per atom: -3.141



Entry 4:
The following is a PBE calculation of a relaxed structure of K2ZrTlPt, from the Alexandria database.

The structure in POSCAR format:
```
K2ZrTlPt
1.0
6.082 0.000 0.000
0.000 6.082 0.000
0.000 0.000 5.102
K Zr Tl Pt
2 1 1 1
Cartesian
0.000 3.041 0.000 K
3.041 0.000 0.000 K
0.000 0.000 2.551 Zr
3.041 3.041 2.551 Tl
0.000 0.000 0.000 Pt
```

Summary:
Energy of formation from the pure elements, eV per atom: 0.3798
E, eV per atom: -3.450



Entry 5:
The following is a PBE calculation of a relaxed structure of KTmPt4, from the Alexandria database.

The structure in POSCAR format:
```
KTmPt4
1.0
0.000 3.860 3.860
3.860 0.000 3.860
3.860 3.860 0.000
K Tm Pt
1 1 4
Cartesian
0.000 0.000 0.000 K
1.930 1.930 1.930 Tm
4.824 2.896 2.896 Pt
2.896 4.824 2.896 Pt
2.896 2.896 4.824 Pt
4.824 4.824 4.824 Pt
```

Summary:
Energy of formation from the pure elements, eV per atom: -0.6424
E, eV per atom: -5.598



Entry 6:
The following is a PBE calculation of a relaxed structure of KUPt4, from the Alexandria database.

The structure in POSCAR format:
```
KUPt4
1.0
0.000 3.867 3.867
3.867 0.000 3.867
3.867 3.867 0.000
K U Pt
1 1 4
Cartesian
0.000 0.000 0.000 K
1.934 1.934 1.934 U
4.833 2.901 2.901 Pt
2.901 4.833 2.901 Pt
2.901 2.901 4.833 Pt
4.833 4.833 4.833 Pt
```

Summary:
Energy of formation from the pure elements, eV per atom: -0.3866
E, eV per atom: -6.478



Entry 7:
The following is a PBE calculation of a relaxed structure of KV2Pt, from the Alexandria database.

The structure in POSCAR format:
```
KV2Pt
1.0
-2.728 2.728 8.348
2.728 -2.728 8.348
2.728 2.728 -8.348
K V Pt
2 4 2
Cartesian
2.728 1.364 2.087 K
0.000 1.364 6.261 K
0.000 0.000 0.000 V
1.364 1.364 -4.174 V
1.364 -1.364 4.174 V
0.000 2.728 0.000 V
2.728 -1.364 6.261 Pt
0.000 4.091 2.087 Pt
```

Summary:
Energy of formation from the pure elements, eV per atom: 0.9365
E, eV per atom: -5.407



Entry 8:
The following is a PBE calculation of a relaxed structure of K3VPt, from the Alexandria database.

The structure in POSCAR format:
```
K3VPt
1.0
6.167 0.000 0.000
0.000 6.167 0.000
0.000 0.000 6.167
K V Pt
3 1 1
Cartesian
0.000 0.000 3.083 K
0.000 3.083 0.000 K
3.083 0.000 0.000 K
3.083 3.083 3.083 V
0.000 0.000 0.000 Pt
```

Summary:
Energy of formation from the pure elements, eV per atom: 0.8388
E, eV per atom: -2.852



Entry 9:
The following is a PBE calculation of a relaxed structure of KV3Pt, from the Alexandria database.

The structure in POSCAR format:
```
KV3Pt
1.0
4.984 0.000 0.000
0.000 4.984 0.000
0.000 0.000 4.984
K V Pt
1 3 1
Cartesian
0.000 0.000 0.000 K
0.000 2.492 2.492 V
2.492 0.000 2.492 V
2.492 2.492 0.000 V
2.492 2.492 2.492 Pt
```

Summary:
Energy of formation from the pure elements, eV per atom: 0.9851
E, eV per atom: -5.914



Entry 10:
The following is a PBE calculation of a relaxed structure of K2VPt, from the Alexandria database.

The structure in POSCAR format:
```
K2VPt
1.0
0.000 3.837 3.837
3.837 0.000 3.837
3.837 3.837 0.000
K V Pt
2 1 1
Cartesian
1.918 1.918 1.918 K
5.755 5.755 5.755 K
0.000 0.000 0.000 V
3.837 3.837 3.837 Pt
```

Summary:
Energy of formation from the pure elements, eV per atom: 0.9830
E, eV per atom: -3.356



Entry 11:
The following is a PBE calculation of a relaxed structure of K2VPt, from the Alexandria database.

The structure in POSCAR format:
```
K2VPt
1.0
-6.059 6.059 2.422
6.059 -6.059 2.422
6.059 6.059 -2.422
K V Pt
4 2 2
Cartesian
-0.960 3.030 0.606 K
3.030 5.099 1.817 K
0.960 9.089 0.606 K
-3.030 7.019 1.817 K
6.059 0.000 1.211 V
0.000 0.000 2.422 V
0.000 0.000 0.000 Pt
0.000 6.059 1.211 Pt
```

Summary:
Energy of formation from the pure elements, eV per atom: 0.5277
E, eV per atom: -3.811



Entry 12:
The following is a PBE calculation of a relaxed structure of KVPt3, from the Alexandria database.

The structure in POSCAR format:
```
KVPt3
1.0
4.776 0.000 0.000
0.000 4.776 0.000
0.000 0.000 4.776
K V Pt
1 1 3
Cartesian
0.000 0.000 0.000 K
2.388 2.388 2.388 V
0.000 2.388 2.388 Pt
2.388 0.000 2.388 Pt
2.388 2.388 0.000 Pt
```

Summary:
Energy of formation from the pure elements, eV per atom: 0.3713
E, eV per atom: -5.296



Entry 13:
The following is a PBE calculation of a relaxed structure of KV3Pt, from the Alexandria database.

The structure in POSCAR format:
```
KV3Pt
1.0
4.248 0.000 0.000
0.000 4.248 0.000
0.000 0.000 4.248
K V Pt
1 3 1
Cartesian
0.000 0.000 0.000 K
0.000 0.000 2.124 V
0.000 2.124 0.000 V
2.124 0.000 0.000 V
2.124 2.124 2.124 Pt
```

Summary:
Energy of formation from the pure elements, eV per atom: 2.1999
E, eV per atom: -4.699



Entry 14:
The following is a PBE calculation of a relaxed structure of KVPt2, from the Alexandria database.

The structure in POSCAR format:
```
KVPt2
1.0
0.000 3.332 3.332
3.332 0.000 3.332
3.332 3.332 0.000
K V Pt
1 1 2
Cartesian
0.000 0.000 0.000 K
3.332 3.332 3.332 V
1.666 1.666 1.666 Pt
4.998 4.998 4.998 Pt
```

Summary:
Energy of formation from the pure elements, eV per atom: 0.4610
E, eV per atom: -5.113



Entry 15:
The following is a PBE calculation of a relaxed structure of KVPt2, from the Alexandria database.

The structure in POSCAR format:
```
KVPt2
1.0
-3.779 3.779 3.292
3.779 -3.779 3.292
3.779 3.779 -3.292
K V Pt
2 2 4
Cartesian
0.000 0.000 0.000 K
0.000 3.779 1.646 K
3.779 0.000 1.646 V
0.000 0.000 3.292 V
1.890 -1.244 2.469 Pt
2.535 1.890 0.823 Pt
1.890 5.023 -0.823 Pt
1.244 1.890 4.115 Pt
```

Summary:
Energy of formation from the pure elements, eV per atom: 0.3185
E, eV per atom: -5.256



Entry 16:
The following is a PBE calculation of a relaxed structure of KVPt3, from the Alexandria database.

The structure in POSCAR format:
```
KVPt3
1.0
4.897 0.000 0.000
0.000 4.897 0.000
0.000 0.000 4.897
K V Pt
1 1 3
Cartesian
0.000 0.000 0.000 K
2.449 2.449 2.449 V
0.000 0.000 2.449 Pt
0.000 2.449 0.000 Pt
2.449 0.000 0.000 Pt
```

Summary:
Energy of formation from the pure elements, eV per atom: 2.1760
E, eV per atom: -3.492



Entry 17:
The following is a PBE calculation of a relaxed structure of KV2Pt, from the Alexandria database.

The structure in POSCAR format:
```
KV2Pt
1.0
0.000 3.214 3.214
3.214 0.000 3.214
3.214 3.214 0.000
K V Pt
1 2 1
Cartesian
0.000 0.000 0.000 K
1.607 1.607 1.607 V
4.821 4.821 4.821 V
3.214 3.214 3.214 Pt
```

Summary:
Energy of formation from the pure elements, eV per atom: 0.9527
E, eV per atom: -5.391



Entry 18:
The following is a PBE calculation of a relaxed structure of KPt2W, from the Alexandria database.

The structure in POSCAR format:
```
KPt2W
1.0
3.276 0.000 0.000
0.000 3.276 0.000
0.000 0.000 8.178
K Pt W
1 2 1
Cartesian
0.000 0.000 0.000 K
0.000 0.000 4.021 Pt
1.638 1.638 2.441 Pt
1.638 1.638 5.186 W
```

Summary:
Energy of formation from the pure elements, eV per atom: 0.5498
E, eV per atom: -5.983



Entry 19:
The following is a PBE calculation of a relaxed structure of KPtW, from the Alexandria database.

The structure in POSCAR format:
```
KPtW
1.0
-1.469 1.469 7.529
1.469 -1.469 7.529
1.469 1.469 -7.529
K Pt W
1 1 1
Cartesian
0.000 0.000 0.000 K
0.000 0.000 4.847 Pt
0.000 0.000 10.721 W
```

Summary:
Energy of formation from the pure elements, eV per atom: 0.6365
E, eV per atom: -6.061



Entry 20:
The following is a PBE calculation of a relaxed structure of KPt2W, from the Alexandria database.

The structure in POSCAR format:
```
KPt2W
1.0
0.000 3.272 3.272
3.272 0.000 3.272
3.272 3.272 0.000
K Pt W
1 2 1
Cartesian
0.000 0.000 0.000 K
3.272 3.272 3.272 Pt
4.908 4.908 4.908 Pt
1.636 1.636 1.636 W
```

Summary:
Energy of formation from the pure elements, eV per atom: 1.0068
E, eV per atom: -5.526